Entry 1:
Material: LiPmIn
Method: DFT, PBE
State: optimized geometry

Structure (CIF):
```
data_LiPmIn
_cell_length_a 6.7703
_cell_length_b 6.7703
_cell_length_c 6.7703
_cell_angle_alpha 90.00
_cell_angle_beta 90.00
_cell_angle_gamma 90.00
_symmetry_space_group_name_H-M 'F -4 3 m'
_symmetry_Int_Tables_number 216
_symmetry_space_group_name_Hall 'F -4 2 3'
loop_
_atom_site_label
_atom_site_type_symbol
_atom_site_fract_x
_atom_site_fract_y
_atom_site_fract_z
Li1 Li 0.0000 0.0000 0.0000
Pm1 Pm 0.2500 0.2500 0.7500
In1 In 0.2500 0.2500 0.2500
```

Size of the total moment = 0.0029 μB/atom
Calculated density = 5.709 g/cm3
Crystal system = cubic
Uncorrected energy = -3.26 eV per atom

Entry 2:
Material: LiTaAlIr
Method: DFT, PBE
State: optimized geometry

Structure (CIF):
```
data_LiTaAlIr
_cell_length_a 6.1250
_cell_length_b 6.1250
_cell_length_c 6.1250
_cell_angle_alpha 90.00
_cell_angle_beta 90.00
_cell_angle_gamma 90.00
_symmetry_space_group_name_H-M 'F -4 3 m'
_symmetry_Int_Tables_number 216
_symmetry_space_group_name_Hall 'F -4 2 3'
loop_
_atom_site_label
_atom_site_type_symbol
_atom_site_fract_x
_atom_site_fract_y
_atom_site_fract_z
Li1 Li 0.0000 0.0000 0.0000
Ta1 Ta 0.2500 0.2500 0.2500
Al1 Al 0.0000 0.0000 0.5000
Ir1 Ir 0.2500 0.2500 0.7500
```

Size of the total moment = 0.0641 μB/atom
Calculated density = 11.767 g/cm3
Crystal system = cubic
Uncorrected energy = -6.69 eV per atom

Entry 3:
Material: Y2B6Os
Method: DFT, PBE
State: optimized geometry

Structure (CIF):
```
data_Y2B6Os
_cell_length_a 9.1594
_cell_length_b 11.5344
_cell_length_c 3.6549
_cell_angle_alpha 90.00
_cell_angle_beta 90.00
_cell_angle_gamma 90.00
_symmetry_space_group_name_H-M 'P b a m'
_symmetry_Int_Tables_number 55
_symmetry_space_group_name_Hall '-P 2 2ab'
loop_
_atom_site_label
_atom_site_type_symbol
_atom_site_fract_x
_atom_site_fract_y
_atom_site_fract_z
Y1 Y 0.0560 0.1265 0.0000
Y2 Y 0.1779 0.4136 0.0000
B1 B 0.0166 0.2870 0.5000
B2 B 0.0535 0.5671 0.5000
B3 B 0.1108 0.9693 0.5000
B4 B 0.1320 0.8143 0.5000
B5 B 0.2094 0.2331 0.5000
B6 B 0.2473 0.5799 0.5000
Os1 Os 0.1374 0.6785 0.0000
```

Size of the total moment = 0.0000 μB/atom
Calculated density = 7.447 g/cm3
Crystal system = orthorhombic
Uncorrected energy = -7.78 eV per atom

Entry 4:
Material: Lu2ZnOs
Method: DFT, PBE
State: optimized geometry

Structure (CIF):
```
data_Lu2ZnOs
_cell_length_a 6.6794
_cell_length_b 6.6794
_cell_length_c 6.6794
_cell_angle_alpha 90.00
_cell_angle_beta 90.00
_cell_angle_gamma 90.00
_symmetry_space_group_name_H-M 'F -4 3 m'
_symmetry_Int_Tables_number 216
_symmetry_space_group_name_Hall 'F -4 2 3'
loop_
_atom_site_label
_atom_site_type_symbol
_atom_site_fract_x
_atom_site_fract_y
_atom_site_fract_z
Lu1 Lu 0.0000 0.0000 0.0000
Lu2 Lu 0.2500 0.2500 0.2500
Zn1 Zn 0.2500 0.2500 0.7500
Os1 Os 0.0000 0.0000 0.5000
```

Size of the total moment = 0.0004 μB/atom
Calculated density = 13.498 g/cm3
Crystal system = cubic
Uncorrected energy = -5.40 eV per atom
Formation energy from the elements = -0.02 eV per atom

Entry 5:
Material: AcPmPr
Method: DFT, PBE
State: optimized geometry

Structure (CIF):
```
data_AcPmPr
_cell_length_a 5.6699
_cell_length_b 5.6699
_cell_length_c 14.3109
_cell_angle_alpha 90.00
_cell_angle_beta 90.00
_cell_angle_gamma 120.00
_symmetry_space_group_name_H-M 'R 3 m'
_symmetry_Int_Tables_number 160
_symmetry_space_group_name_Hall 'R 3 -2"'
loop_
_atom_site_label
_atom_site_type_symbol
_atom_site_fract_x
_atom_site_fract_y
_atom_site_fract_z
Ac1 Ac 0.0000 0.0000 0.0000
Pm1 Pm 0.0000 0.0000 0.7564
Pr1 Pr 0.0000 0.0000 0.5062
```

Size of the total moment = 0.0178 μB/atom
Calculated density = 6.413 g/cm3
Crystal system = trigonal
Uncorrected energy = -3.89 eV per atom
Formation energy from the elements = 0.65 eV per atom

Entry 6:
Material: HfAlN
Method: DFT, PBE
State: optimized geometry

Structure (CIF):
```
data_HfAlN
_cell_length_a 4.2912
_cell_length_b 4.2912
_cell_length_c 3.1174
_cell_angle_alpha 90.00
_cell_angle_beta 90.00
_cell_angle_gamma 120.00
_symmetry_space_group_name_H-M 'P -6 m 2'
_symmetry_Int_Tables_number 187
_symmetry_space_group_name_Hall 'P -6 2'
loop_
_atom_site_label
_atom_site_type_symbol
_atom_site_fract_x
_atom_site_fract_y
_atom_site_fract_z
Hf1 Hf 0.0000 0.0000 0.0000
Al1 Al 0.6667 0.3333 0.0000
N1 N 0.3333 0.6667 0.0000
```

Size of the total moment = 0.0001 μB/atom
Calculated density = 7.331 g/cm3
Crystal system = hexagonal
Uncorrected energy = -6.03 eV per atom

Entry 7:
Material: YHoGa2Pt4
Method: DFT, PBE
State: optimized geometry

Structure (CIF):
```
data_YHoGa2Pt4
_cell_length_a 4.3847
_cell_length_b 4.3847
_cell_length_c 9.1048
_cell_angle_alpha 90.00
_cell_angle_beta 90.00
_cell_angle_gamma 120.00
_symmetry_space_group_name_H-M 'P -6 m 2'
_symmetry_Int_Tables_number 187
_symmetry_space_group_name_Hall 'P -6 2'
loop_
_atom_site_label
_atom_site_type_symbol
_atom_site_fract_x
_atom_site_fract_y
_atom_site_fract_z
Y1 Y 0.0000 0.0000 0.0000
Ho1 Ho 0.3333 0.6667 0.5000
Ga1 Ga 0.6667 0.3333 0.2503
Pt1 Pt 0.0000 0.0000 0.3370
Pt2 Pt 0.3333 0.6667 0.1662
```

Size of the total moment = 0.0001 μB/atom
Calculated density = 12.856 g/cm3
Crystal system = hexagonal
Uncorrected energy = -6.23 eV per atom

Entry 8:
Material: Pr3Bi2P
Method: DFT, PBE
State: optimized geometry

Structure (CIF):
```
data_Pr3Bi2P
_cell_length_a 4.4438
_cell_length_b 4.4438
_cell_length_c 11.2032
_cell_angle_alpha 90.00
_cell_angle_beta 90.00
_cell_angle_gamma 120.00
_symmetry_space_group_name_H-M 'P -3 m 1'
_symmetry_Int_Tables_number 164
_symmetry_space_group_name_Hall '-P 3 2"'
loop_
_atom_site_label
_atom_site_type_symbol
_atom_site_fract_x
_atom_site_fract_y
_atom_site_fract_z
Pr1 Pr 0.0000 0.0000 0.0000
Pr2 Pr 0.3333 0.6667 0.3575
Bi1 Bi 0.3333 0.6667 0.8231
P1 P 0.0000 0.0000 0.5000
```

Size of the total moment = 0.0000 μB/atom
Calculated density = 7.555 g/cm3
Crystal system = trigonal
Uncorrected energy = -5.76 eV per atom

Entry 9:
Material: KNdBeS3
Method: DFT, PBE
State: optimized geometry

Structure (CIF):
```
data_KNdBeS3
_cell_length_a 3.9769
_cell_length_b 14.1119
_cell_length_c 10.8554
_cell_angle_alpha 90.00
_cell_angle_beta 90.00
_cell_angle_gamma 90.00
_symmetry_space_group_name_H-M 'C m c m'
_symmetry_Int_Tables_number 63
_symmetry_space_group_name_Hall '-C 2c 2'
loop_
_atom_site_label
_atom_site_type_symbol
_atom_site_fract_x
_atom_site_fract_y
_atom_site_fract_z
K1 K 0.0000 0.2446 0.2500
Nd1 Nd 0.0000 0.5000 0.0000
Be1 Be 0.0000 0.0396 0.7500
S1 S 0.0000 0.1209 0.5905
S2 S 0.0000 0.4454 0.7500
```

Size of the total moment = 0.0003 μB/atom
Calculated density = 3.146 g/cm3
Crystal system = orthorhombic
Uncorrected energy = -5.17 eV per atom

Entry 10:
Material: TaGa
Method: DFT, PBE
State: optimized geometry

Structure (CIF):
```
data_TaGa
_cell_length_a 5.8219
_cell_length_b 5.8219
_cell_length_c 5.8219
_cell_angle_alpha 90.00
_cell_angle_beta 90.00
_cell_angle_gamma 90.00
_symmetry_space_group_name_H-M 'F -4 3 m'
_symmetry_Int_Tables_number 216
_symmetry_space_group_name_Hall 'F -4 2 3'
loop_
_atom_site_label
_atom_site_type_symbol
_atom_site_fract_x
_atom_site_fract_y
_atom_site_fract_z
Ta1 Ta 0.0000 0.0000 0.0000
Ga1 Ga 0.2500 0.2500 0.2500
```

Size of the total moment = 0.0007 μB/atom
Calculated density = 8.438 g/cm3
Crystal system = cubic
Uncorrected energy = -5.91 eV per atom

Entry 11:
Material: UBiSb
Method: DFT, PBE
State: optimized geometry

Structure (CIF):
```
data_UBiSb
_cell_length_a 7.3451
_cell_length_b 7.3451
_cell_length_c 7.3451
_cell_angle_alpha 90.00
_cell_angle_beta 90.00
_cell_angle_gamma 90.00
_symmetry_space_group_name_H-M 'F -4 3 m'
_symmetry_Int_Tables_number 216
_symmetry_space_group_name_Hall 'F -4 2 3'
loop_
_atom_site_label
_atom_site_type_symbol
_atom_site_fract_x
_atom_site_fract_y
_atom_site_fract_z
U1 U 0.0000 0.0000 0.0000
Bi1 Bi 0.2500 0.2500 0.7500
Sb1 Sb 0.2500 0.2500 0.2500
```

Size of the total moment = 0.7584 μB/atom
Calculated density = 9.534 g/cm3
Crystal system = cubic
Uncorrected energy = -6.26 eV per atom

Entry 12:
Material: Y2ErCu4Si2Sn2
Method: DFT, PBE
State: optimized geometry

Structure (CIF):
```
data_Y2ErCu4Si2Sn2
_cell_length_a 4.2247
_cell_length_b 6.8424
_cell_length_c 14.2186
_cell_angle_alpha 90.00
_cell_angle_beta 90.00
_cell_angle_gamma 90.00
_symmetry_space_group_name_H-M 'I m m m'
_symmetry_Int_Tables_number 71
_symmetry_space_group_name_Hall '-I 2 2'
loop_
_atom_site_label
_atom_site_type_symbol
_atom_site_fract_x
_atom_site_fract_y
_atom_site_fract_z
Y1 Y 0.0000 0.0000 0.1349
Er1 Er 0.0000 0.5000 0.0000
Cu1 Cu 0.0000 0.1890 0.3191
Si1 Si 0.0000 0.5000 0.2155
Sn1 Sn 0.0000 0.2957 0.5000
```

Size of the total moment = 0.0000 μB/atom
Calculated density = 7.214 g/cm3
Crystal system = orthorhombic
Uncorrected energy = -5.18 eV per atom

Entry 13:
Material: Ba3CdSb2O9
Method: DFT, PBE
State: optimized geometry

Structure (CIF):
```
data_Ba3CdSb2O9
_cell_length_a 5.8894
_cell_length_b 5.8894
_cell_length_c 7.2903
_cell_angle_alpha 90.00
_cell_angle_beta 90.00
_cell_angle_gamma 120.00
_symmetry_space_group_name_H-M 'P -3 m 1'
_symmetry_Int_Tables_number 164
_symmetry_space_group_name_Hall '-P 3 2"'
loop_
_atom_site_label
_atom_site_type_symbol
_atom_site_fract_x
_atom_site_fract_y
_atom_site_fract_z
Ba1 Ba 0.0000 0.0000 0.0000
Ba2 Ba 0.3333 0.6667 0.6566
Cd1 Cd 0.0000 0.0000 0.5000
Sb1 Sb 0.3333 0.6667 0.1650
O1 O 0.0000 0.5000 0.0000
O2 O 0.1743 0.3485 0.3136
```

Calculated density = 6.915 g/cm3
Crystal system = trigonal
Uncorrected energy = -5.98 eV per atom

Entry 14:
Material: HfNbPt
Method: DFT, PBE
State: optimized geometry

Structure (CIF):
```
data_HfNbPt
_cell_length_a 6.3334
_cell_length_b 6.3334
_cell_length_c 6.3334
_cell_angle_alpha 90.00
_cell_angle_beta 90.00
_cell_angle_gamma 90.00
_symmetry_space_group_name_H-M 'F -4 3 m'
_symmetry_Int_Tables_number 216
_symmetry_space_group_name_Hall 'F -4 2 3'
loop_
_atom_site_label
_atom_site_type_symbol
_atom_site_fract_x
_atom_site_fract_y
_atom_site_fract_z
Hf1 Hf 0.0000 0.0000 0.0000
Nb1 Nb 0.0000 0.0000 0.5000
Pt1 Pt 0.2500 0.2500 0.2500
```

Size of the total moment = 0.0171 μB/atom
Calculated density = 12.197 g/cm3
Crystal system = cubic
Uncorrected energy = -8.90 eV per atom
Formation energy from the elements = -0.20 eV per atom

Entry 15:
Material: Nd2Sb2O5
Method: DFT, PBE
State: optimized geometry

Structure (CIF):
```
data_Nd2Sb2O5
_cell_length_a 4.2282
_cell_length_b 4.2282
_cell_length_c 7.4740
_cell_angle_alpha 90.00
_cell_angle_beta 90.00
_cell_angle_gamma 90.00
_symmetry_space_group_name_H-M 'P 4/m m m'
_symmetry_Int_Tables_number 123
_symmetry_space_group_name_Hall '-P 4 2'
loop_
_atom_site_label
_atom_site_type_symbol
_atom_site_fract_x
_atom_site_fract_y
_atom_site_fract_z
Nd1 Nd 0.0000 0.0000 0.0000
Nd2 Nd 0.0000 0.0000 0.5000
Sb1 Sb 0.5000 0.5000 0.2214
O1 O 0.0000 0.5000 0.2787
O2 O 0.5000 0.5000 0.5000
```

Size of the total moment = 0.0145 μB/atom
Calculated density = 7.606 g/cm3
Crystal system = tetragonal
Uncorrected energy = -6.41 eV per atom

Entry 16:
Material: LiFeNiBi
Method: DFT, PBE
State: optimized geometry

Structure (CIF):
```
data_LiFeNiBi
_cell_length_a 6.1215
_cell_length_b 6.1215
_cell_length_c 6.1215
_cell_angle_alpha 90.00
_cell_angle_beta 90.00
_cell_angle_gamma 90.00
_symmetry_space_group_name_H-M 'F -4 3 m'
_symmetry_Int_Tables_number 216
_symmetry_space_group_name_Hall 'F -4 2 3'
loop_
_atom_site_label
_atom_site_type_symbol
_atom_site_fract_x
_atom_site_fract_y
_atom_site_fract_z
Li1 Li 0.0000 0.0000 0.0000
Fe1 Fe 0.2500 0.2500 0.7500
Ni1 Ni 0.0000 0.0000 0.5000
Bi1 Bi 0.2500 0.2500 0.2500
```

Size of the total moment = 0.7818 μB/atom
Calculated density = 9.569 g/cm3
Crystal system = cubic
Uncorrected energy = -4.77 eV per atom

Entry 17:
Material: YTaAsO
Method: DFT, PBE
State: optimized geometry

Structure (CIF):
```
data_YTaAsO
_cell_length_a 3.7955
_cell_length_b 7.3640
_cell_length_c 5.7301
_cell_angle_alpha 90.00
_cell_angle_beta 90.00
_cell_angle_gamma 90.00
_symmetry_space_group_name_H-M 'P m c 21'
_symmetry_Int_Tables_number 26
_symmetry_space_group_name_Hall 'P 2c -2'
loop_
_atom_site_label
_atom_site_type_symbol
_atom_site_fract_x
_atom_site_fract_y
_atom_site_fract_z
Y1 Y 0.0000 0.2281 0.0000
Ta1 Ta 0.5000 0.4079 0.5070
As1 As 0.0000 0.1656 0.4874
O1 O 0.5000 0.3344 0.8593
```

Size of the total moment = 0.0024 μB/atom
Calculated density = 7.481 g/cm3
Crystal system = orthorhombic
Uncorrected energy = -8.33 eV per atom

Entry 18:
Material: AgIrF6
Method: DFT, PBE
State: optimized geometry

Structure (CIF):
```
data_AgIrF6
_cell_length_a 4.9500
_cell_length_b 4.9500
_cell_length_c 14.1541
_cell_angle_alpha 90.00
_cell_angle_beta 90.00
_cell_angle_gamma 120.00
_symmetry_space_group_name_H-M 'R -3'
_symmetry_Int_Tables_number 148
_symmetry_space_group_name_Hall '-R 3'
loop_
_atom_site_label
_atom_site_type_symbol
_atom_site_fract_x
_atom_site_fract_y
_atom_site_fract_z
Ag1 Ag 0.0000 0.0000 0.0000
Ir1 Ir 0.0000 0.0000 0.5000
F1 F 0.0071 0.6205 0.9114
```

Size of the total moment = 0.2498 μB/atom
Calculated density = 6.868 g/cm3
Crystal system = trigonal
Uncorrected energy = -4.23 eV per atom

Entry 19:
Material: ZnFeMoPt
Method: DFT, PBE
State: optimized geometry

Structure (CIF):
```
data_ZnFeMoPt
_cell_length_a 6.1309
_cell_length_b 6.1309
_cell_length_c 6.1309
_cell_angle_alpha 90.00
_cell_angle_beta 90.00
_cell_angle_gamma 90.00
_symmetry_space_group_name_H-M 'F -4 3 m'
_symmetry_Int_Tables_number 216
_symmetry_space_group_name_Hall 'F -4 2 3'
loop_
_atom_site_label
_atom_site_type_symbol
_atom_site_fract_x
_atom_site_fract_y
_atom_site_fract_z
Zn1 Zn 0.0000 0.0000 0.0000
Fe1 Fe 0.2500 0.2500 0.2500
Mo1 Mo 0.0000 0.0000 0.5000
Pt1 Pt 0.2500 0.2500 0.7500
```

Size of the total moment = 0.5172 μB/atom
Calculated density = 11.883 g/cm3
Crystal system = cubic
Uncorrected energy = -6.61 eV per atom
Formation energy from the elements = 0.01 eV per atom

Entry 20:
Material: Dy3In3AgIr2
Method: DFT, PBE
State: optimized geometry

Structure (CIF):
```
data_Dy3In3AgIr2
_cell_length_a 7.7057
_cell_length_b 7.7057
_cell_length_c 3.8493
_cell_angle_alpha 90.00
_cell_angle_beta 90.00
_cell_angle_gamma 120.00
_symmetry_space_group_name_H-M 'P -6 2 m'
_symmetry_Int_Tables_number 189
_symmetry_space_group_name_Hall 'P -6 -2'
loop_
_atom_site_label
_atom_site_type_symbol
_atom_site_fract_x
_atom_site_fract_y
_atom_site_fract_z
Dy1 Dy 0.0000 0.4128 0.0000
In1 In 0.0000 0.7319 0.5000
Ag1 Ag 0.0000 0.0000 0.0000
Ir1 Ir 0.3333 0.6667 0.5000
```

Size of the total moment = 0.0014 μB/atom
Calculated density = 11.109 g/cm3
Crystal system = hexagonal
Uncorrected energy = -5.34 eV per atom